No. 1
# Zr2IN PBE optimized geometry
# * energy: -7.24 eV per atom
# * density of states at the Fermi level: 8.22 states/eV per cell
# * total magnetic moment: 0.00 μB/f.u.
data_Zr2IN
_chemical_formula_sum 'Zr8 I4 N4'
_symmetry_space_group_name_H-M 'I -4 2 d'
_symmetry_Int_Tables_number 122
_symmetry_space_group_name_Hall 'I -4 2bw'
_cell_length_a 5.7172
_cell_length_b 5.7172
_cell_length_c 11.4908
_cell_angle_alpha 90.00
_cell_angle_beta 90.00
_cell_angle_gamma 90.00
loop_
_atom_site_label
_atom_site_fract_x
_atom_site_fract_y
_atom_site_fract_z
Zr1 0.1244 0.2500 0.1250
I1 0.0000 0.0000 0.5000
N1 0.0000 0.0000 0.0000

=====

No. 2
# ZrIN2 PBE optimized geometry
# * energy: -6.41 eV per atom
# * density of states at the Fermi level: 29.61 states/eV per cell
# * total magnetic moment: 0.00 μB/f.u.
# * polymorph energy (0 for the lowest one): 524.5 meV per atom
data_ZrIN2
_chemical_formula_sum 'Zr4 I4 N8'
_symmetry_space_group_name_H-M 'I -4 2 d'
_symmetry_Int_Tables_number 122
_symmetry_space_group_name_Hall 'I -4 2bw'
_cell_length_a 5.7050
_cell_length_b 5.7050
_cell_length_c 9.7752
_cell_angle_alpha 90.00
_cell_angle_beta 90.00
_cell_angle_gamma 90.00
loop_
_atom_site_label
_atom_site_fract_x
_atom_site_fract_y
_atom_site_fract_z
Zr1 0.0000 0.0000 0.0000
I1 0.0000 0.0000 0.5000
N1 0.1566 0.2500 0.1250

=====

No. 3
# ZrI3N PBE optimized geometry
# * energy: -3.82 eV per atom
# * density of states at the Fermi level: 2.40 states/eV per cell
# * total magnetic moment: 2.90 μB/f.u.
# * polymorph energy (0 for the lowest one): 0.0 meV per atom
data_ZrI3N
_chemical_formula_sum 'Zr1 I3 N1'
_symmetry_space_group_name_H-M 'P m -3 m'
_symmetry_Int_Tables_number 221
_symmetry_space_group_name_Hall '-P 4 2 3'
_cell_length_a 5.7691
_cell_length_b 5.7691
_cell_length_c 5.7691
_cell_angle_alpha 90.00
_cell_angle_beta 90.00
_cell_angle_gamma 90.00
loop_
_atom_site_label
_atom_site_fract_x
_atom_site_fract_y
_atom_site_fract_z
Zr1 0.0000 0.0000 0.0000
I1 0.0000 0.0000 0.5000
N1 0.5000 0.5000 0.5000

=====

No. 4
# ZrIN PBE optimized geometry
# * energy: -7.51 eV per atom
# * total magnetic moment: 0.00 μB/f.u.
data_ZrIN
_chemical_formula_sum 'Zr2 I2 N2'
_symmetry_space_group_name_H-M 'P m m n'
_symmetry_Int_Tables_number 59
_cell_length_a 3.7715
_cell_length_b 4.1694
_cell_length_c 10.3613
_cell_angle_alpha 90.00
_cell_angle_beta 90.00
_cell_angle_gamma 90.00
loop_
_symmetry_equiv_pos_as_xyz
'x,y,z'
'-x,-y,-z'
'-x+1/2,-y+1/2,z'
'x+1/2,y+1/2,-z'
'x+1/2,-y,-z'
'-x+1/2,y,z'
'-x,y+1/2,-z'
'x,-y+1/2,z'
loop_
_atom_site_label
_atom_site_fract_x
_atom_site_fract_y
_atom_site_fract_z
Zr1 0.2500 0.2500 0.0823
I1 0.2500 0.7500 0.6938
N1 0.2500 0.7500 0.0238

=====

No. 5
# ZrIN2 PBE optimized geometry
# * energy: -6.93 eV per atom
# * density of states at the Fermi level: 6.14 states/eV per cell
# * total magnetic moment: 0.00 μB/f.u.
# * polymorph energy (0 for the lowest one): 0.0 meV per atom
data_ZrIN2
_chemical_formula_sum 'Zr3 I3 N6'
_symmetry_space_group_name_H-M 'R -3 m'
_symmetry_Int_Tables_number 166
_symmetry_space_group_name_Hall '-R 3 2"'
_cell_length_a 3.4187
_cell_length_b 3.4187
_cell_length_c 19.7782
_cell_angle_alpha 90.00
_cell_angle_beta 90.00
_cell_angle_gamma 120.00
loop_
_atom_site_label
_atom_site_fract_x
_atom_site_fract_y
_atom_site_fract_z
Zr1 0.0000 0.0000 0.0000
I1 0.0000 0.0000 0.5000
N1 0.0000 0.0000 0.3883

=====

No. 6
# Na3I2 PBE optimized geometry
# * energy: -2.23 eV per atom
# * density of states at the Fermi level: 11.97 states/eV per cell
# * total magnetic moment: 0.39 μB/f.u.
data_Na3I2
_chemical_formula_sum 'Na18 I12'
_symmetry_space_group_name_H-M 'R -3 c'
_symmetry_Int_Tables_number 167
_symmetry_space_group_name_Hall '-R 3 2"c'
_cell_length_a 7.9548
_cell_length_b 7.9548
_cell_length_c 23.4810
_cell_angle_alpha 90.00
_cell_angle_beta 90.00
_cell_angle_gamma 120.00
loop_
_atom_site_label
_atom_site_fract_x
_atom_site_fract_y
_atom_site_fract_z
Na1 0.0000 0.3208 0.2500
I1 0.0000 0.0000 0.1579

=====

| no. | formation energy without anion corrections (kJ/mol of formula units) |
| --- | --- |
| 1 | -193 |
| 2 | 107 |
| 3 | 233 |
| 4 | -397 |
| 5 | -95 |
| 6 | -393 |